A relaxed structure of AcPaAlSi2. Source: Alexandria via LeMat-Bulk, functional PBE.

Properties
Total energy, eV per atom: -5.9701
M_tot, μB/cell: 0.0

a = 4.423 Å, b = 4.423 Å, c = 12.117 Å
α = 90.00°, β = 90.00°, γ = 90.00°
Space group I-4m2 (No. 119)
Inequivalent atoms, fractional coordinates:
Ac: 0.000 0.000 0.000 [2 per cell]
Pa: 0.000 0.500 0.750 [2 per cell]
Al: 0.000 0.500 0.250 [2 per cell]
Si: 0.000 0.000 0.398 [4 per cell]